Entry 1:
First-principles (PBE) data for a geometry-optimized Sm3HoEr6 structure, as listed in Alexandria.

Lattice parameters (Å, degrees): 6.2009 10.9197 10.9197 119.66 90.00 90.00
Fractional coordinates of all 20 atoms:
Sm 0.4596 0.9390 0.7185
Sm 0.9596 0.7185 0.9390
Sm 0.0669 0.3909 0.6091
Sm 0.5669 0.6091 0.3909
Sm 0.9596 0.0610 0.2815
Sm 0.4596 0.2815 0.0610
Ho 0.1415 0.2056 0.7944
Ho 0.6415 0.7944 0.2056
Er 0.0376 0.7120 0.6170
Er 0.5376 0.6170 0.7120
Er 0.3659 0.5375 0.9587
Er 0.8659 0.9587 0.5375
Er 0.4105 0.9540 0.0460
Er 0.6402 0.2807 0.7193
Er 0.1402 0.7193 0.2807
Er 0.9105 0.0460 0.9540
Er 0.3659 0.0413 0.4625
Er 0.8659 0.4625 0.0413
Er 0.0376 0.3830 0.2880
Er 0.5376 0.2880 0.3830

Calculated formation energy in meV per atom: 151
Theoretical density in g/cm³: 8.372



Entry 2:
First-principles (PBE) data for a geometry-optimized LaThGaCu structure, as listed in Alexandria.

Lattice parameters (Å, degrees): 5.1981 5.1981 5.1981 60.00 60.00 60.00
Fractional coordinates of all 4 atoms:
Cu 0.2500 0.2500 0.2500
Ga 0.7500 0.7500 0.7500
Th 0.0000 0.0000 0.0000
La 0.5000 0.5000 0.5000

Calculated formation energy in meV per atom: -261
Theoretical density in g/cm³: 8.430



Entry 3:
First-principles (PBE) data for a geometry-optimized MnFe3Co structure, as listed in Alexandria.

Lattice parameters (Å, degrees): 4.3098 4.3098 4.3098 90.00 90.00 90.00
Last column: magnetic moment on the atom in μB.
Fractional coordinates of all 5 atoms:
Mn 0.5000 0.5000 0.5000  3.96
Co 0.0000 0.0000 0.0000  1.56
Fe 0.0000 0.5000 0.0000  2.95
Fe 0.0000 0.0000 0.5000  3.19
Fe 0.5000 0.0000 0.0000  2.40

Calculated formation energy in meV per atom: 1006
Theoretical density in g/cm³: 5.837
Energy relative to the lowest polymorph listed for this composition in kJ per mole of atoms: 92.2



Entry 4:
First-principles (PBE) data for a geometry-optimized LiAl4Zn2 structure, as listed in Alexandria.

Lattice parameters (Å, degrees): 5.0161 5.0161 6.0695 104.57 104.57 113.02
Fractional coordinates of all 7 atoms:
Li 0.0000 0.0000 0.0000
Al 0.7500 0.2500 0.5000
Al 0.2500 0.7500 0.5000
Al 0.5000 0.0000 0.0000
Al 0.0000 0.5000 0.0000
Zn 0.6312 0.6312 0.2623
Zn 0.3688 0.3688 0.7377

Calculated formation energy in meV per atom: 135
Theoretical density in g/cm³: 3.261
Energy relative to the lowest polymorph listed for this composition in kJ per mole of atoms: 10.8



Entry 5:
First-principles (PBE) data for a geometry-optimized Tl5Sn3Pb3 structure, as listed in Alexandria.

Lattice parameters (Å, degrees): 3.3249 11.2376 11.2376 120.00 90.00 90.00
Fractional coordinates of all 11 atoms:
Tl 0.5000 0.6667 0.3333
Tl 0.5000 0.3333 0.6667
Tl 0.5000 0.3320 0.0000
Tl 0.5000 0.6680 0.6680
Tl 0.5000 0.0000 0.3320
Sn 0.0000 0.5719 0.0000
Sn 0.0000 0.0000 0.5719
Sn 0.0000 0.4281 0.4281
Pb 0.5000 0.8215 0.0000
Pb 0.5000 0.1785 0.1785
Pb 0.5000 0.0000 0.8215

Calculated formation energy in meV per atom: 152
Theoretical density in g/cm³: 9.132



Entry 6:
First-principles (PBE) data for a geometry-optimized RhC8 structure, as listed in Alexandria.

Lattice parameters (Å, degrees): 5.1616 5.1616 5.1616 115.42 115.42 98.14
Fractional coordinates of all 9 atoms:
Rh 0.0000 0.0000 0.0000
C 0.2566 0.7434 0.0000
C 0.7434 0.2566 0.0000
C 0.0000 0.3719 0.3719
C 0.7434 0.7434 0.4868
C 0.3719 0.0000 0.3719
C 0.2566 0.2566 0.5132
C 0.0000 0.6281 0.6281
C 0.6281 0.0000 0.6281

Calculated formation energy in meV per atom: 2118
Theoretical density in g/cm³: 3.213



Entry 7:
First-principles (PBE) data for a geometry-optimized AlRe2Tc structure, as listed in Alexandria.

Lattice parameters (Å, degrees): 2.7251 2.7251 8.8250 90.00 90.00 115.07
Fractional coordinates of all 4 atoms:
Re 0.0000 0.0000 0.9972
Re 0.5000 0.5000 0.2517
Tc 0.0000 0.0000 0.5038
Al 0.5000 0.5000 0.7473

Calculated formation energy in meV per atom: 71
Theoretical density in g/cm³: 13.914



Entry 8:
First-principles (PBE) data for a geometry-optimized Ac5Pr4Nd4 structure, as listed in Alexandria.

Lattice parameters (Å, degrees): 5.3701 10.1108 10.1108 85.96 74.60 74.60
Fractional coordinates of all 13 atoms:
Ac 0.6974 0.8406 0.7646
Ac 0.3026 0.1594 0.2354
Ac 0.0000 0.0000 0.0000
Ac 0.5380 0.7646 0.1594
Ac 0.4620 0.2354 0.8406
Pr 0.9258 0.4605 0.6879
Pr 0.6137 0.3121 0.4605
Pr 0.0742 0.5395 0.3121
Pr 0.3863 0.6879 0.5395
Nd 0.7658 0.3909 0.0776
Nd 0.2342 0.6091 0.9224
Nd 0.8434 0.9224 0.3909
Nd 0.1566 0.0776 0.6091

Calculated formation energy in meV per atom: 32
Theoretical density in g/cm³: 7.406



Entry 9:
First-principles (PBE) data for a geometry-optimized BaCuP2 structure, as listed in Alexandria.

Lattice parameters (Å, degrees): 6.0888 6.0888 6.0888 41.10 41.10 41.10
Fractional coordinates of all 4 atoms:
Ba 0.2500 0.2500 0.2500
Cu 0.7500 0.7500 0.7500
P 0.0557 0.0557 0.0557
P 0.4443 0.4443 0.4443

Calculated formation energy in meV per atom: -308
Theoretical density in g/cm³: 4.955



Entry 10:
First-principles (PBE) data for a geometry-optimized Lu3InFe structure, as listed in Alexandria.

Lattice parameters (Å, degrees): 5.0393 5.0393 5.0393 90.00 90.00 90.00
Fractional coordinates of all 5 atoms:
Lu 0.0000 0.5000 0.0000
Lu 0.0000 0.0000 0.5000
Lu 0.5000 0.0000 0.0000
Fe 0.0000 0.0000 0.0000
In 0.5000 0.5000 0.5000

Calculated formation energy in meV per atom: -42
Theoretical density in g/cm³: 9.026



Entry 11:
First-principles (PBE) data for a geometry-optimized CsAc2NpO8 structure, as listed in Alexandria.

Lattice parameters (Å, degrees): 4.3711 5.6244 8.7451 90.00 90.00 95.33
Fractional coordinates of all 12 atoms:
Cs 0.0000 0.0000 0.5000
Ac 0.5000 0.5000 0.7806
Ac 0.5000 0.5000 0.2194
Np 0.0000 0.0000 0.0000
O 0.0605 0.7704 0.1772
O 0.5858 0.7829 0.0000
O 0.9395 0.2296 0.1772
O 0.9395 0.2296 0.8228
O 0.4142 0.2171 0.0000
O 0.0605 0.7704 0.8228
O 0.5901 0.6202 0.5000
O 0.4099 0.3798 0.5000

Formation energy from raw total energies in meV/atom: -2597
Theoretical density in g/cm³: 7.384



Entry 12:
First-principles (PBE) data for a geometry-optimized Cs3PmU2Se6 structure, as listed in Alexandria.

Lattice parameters (Å, degrees): 7.4621 7.4621 8.7862 98.14 98.14 120.00
Last column: magnetic moment on the atom in μB.
Fractional coordinates of all 12 atoms:
Cs 0.1648 0.8352 0.5000  0.01
Cs 0.8352 0.1648 0.5000  0.01
Cs 0.5000 0.5000 0.5000  0.01
Pm 0.0000 0.0000 0.0000  0.12
U 0.3331 0.6669 0.0000  2.67
U 0.6669 0.3331 0.0000  2.67
Se 0.9371 0.5980 0.8115  -0.04
Se 0.7233 0.7233 0.1878  -0.04
Se 0.0629 0.4020 0.1885  -0.04
Se 0.5980 0.9371 0.8115  -0.04
Se 0.2767 0.2767 0.8122  -0.04
Se 0.4020 0.0629 0.1885  -0.04

Formation energy from raw total energies in meV/atom: -1370
Theoretical density in g/cm³: 6.103



Entry 13:
First-principles (PBE) data for a geometry-optimized BaMgW2 structure, as listed in Alexandria.

Lattice parameters (Å, degrees): 11.2886 11.2886 11.2886 15.13 15.13 15.13
Fractional coordinates of all 4 atoms:
Ba 0.2500 0.2500 0.2500
Mg 0.7500 0.7500 0.7500
W 0.0107 0.0107 0.0107
W 0.4893 0.4893 0.4893

Calculated formation energy in meV per atom: 1257
Theoretical density in g/cm³: 10.293



Entry 14:
First-principles (PBE) data for a geometry-optimized Tb3Tm6Sc structure, as listed in Alexandria.

Lattice parameters (Å, degrees): 4.9351 11.0184 11.0272 90.04 90.00 90.00
Fractional coordinates of all 20 atoms:
Tb 0.2500 0.5501 0.4006
Tb 0.7500 0.4499 0.5994
Tb 0.2500 0.3495 0.7984
Tb 0.7500 0.6505 0.2016
Tb 0.2500 0.7515 0.0009
Tb 0.7500 0.2485 0.9991
Tm 0.2500 0.4482 0.1008
Tm 0.7500 0.5518 0.8992
Tm 0.2500 0.1476 0.2019
Tm 0.7500 0.8524 0.7981
Tm 0.2500 0.6555 0.6984
Tm 0.7500 0.3445 0.3016
Tm 0.2500 0.2428 0.4988
Tm 0.7500 0.7572 0.5012
Tm 0.2500 0.8547 0.3053
Tm 0.7500 0.1453 0.6947
Tm 0.2500 0.0488 0.8969
Tm 0.7500 0.9512 0.1031
Sc 0.2500 0.9514 0.5980
Sc 0.7500 0.0486 0.4020

Calculated formation energy in meV per atom: 34
Theoretical density in g/cm³: 8.504
Energy relative to the lowest polymorph listed for this composition in kJ per mole of atoms: 0.0



Entry 15:
First-principles (PBE) data for a geometry-optimized LiLuNpIr structure, as listed in Alexandria.

Lattice parameters (Å, degrees): 4.8540 4.8540 4.8540 60.00 60.00 60.00
Last column: magnetic moment on the atom in μB.
Fractional coordinates of all 4 atoms:
Np 0.5000 0.5000 0.5000  -3.82
Ir 0.7500 0.7500 0.7500  0.15
Lu 0.0000 0.0000 0.0000  -0.13
Li 0.2500 0.2500 0.2500  -0.04

Calculated formation energy in meV per atom: -208
Theoretical density in g/cm³: 12.549



Entry 16:
First-principles (PBE) data for a geometry-optimized TmCu4Rh structure, as listed in Alexandria.

Lattice parameters (Å, degrees): 4.9483 4.9483 4.9483 60.00 60.00 60.00
Fractional coordinates of all 6 atoms:
Tm 0.0000 0.0000 0.0000
Rh 0.2500 0.2500 0.2500
Cu 0.6242 0.6242 0.1275
Cu 0.6242 0.1275 0.6242
Cu 0.6242 0.6242 0.6242
Cu 0.1275 0.6242 0.6242

Calculated formation energy in meV per atom: -306
Theoretical density in g/cm³: 10.195



Entry 17:
First-principles (PBE) data for a geometry-optimized Ba4Te2O structure, as listed in Alexandria.

Lattice parameters (Å, degrees): 5.2317 5.2317 10.1150 75.01 75.01 90.00
Last column: magnetic moment on the atom in μB.
Fractional coordinates of all 7 atoms:
Te 0.3635 0.3635 0.2730  -0.01
Te 0.6365 0.6365 0.7270  -0.01
Ba 0.1744 0.1744 0.6513  0.14
Ba 0.8256 0.8256 0.3487  0.14
Ba 0.0000 0.5000 0.0000  0.07
Ba 0.5000 0.0000 0.0000  0.07
O 0.0000 0.0000 0.0000  0.00

Formation energy from raw total energies in meV/atom: -1591
Theoretical density in g/cm³: 5.288



Entry 18:
First-principles (PBE) data for a geometry-optimized PrEu2Ag structure, as listed in Alexandria.

Lattice parameters (Å, degrees): 5.1825 4.9777 4.9777 90.00 90.00 90.00
Last column: magnetic moment on the atom in μB.
Fractional coordinates of all 4 atoms:
Eu 0.0000 0.0000 0.5000  6.99
Eu 0.0000 0.5000 0.0000  6.99
Pr 0.5000 0.0000 0.0000  0.29
Ag 0.5000 0.5000 0.5000  0.02

Calculated formation energy in meV per atom: 30
Theoretical density in g/cm³: 7.147
Energy relative to the lowest polymorph listed for this composition in kJ per mole of atoms: 12.4



Entry 19:
First-principles (PBE) data for a geometry-optimized Ca6In3Pd structure, as listed in Alexandria.

Lattice parameters (Å, degrees): 5.4104 9.3981 12.2600 110.69 90.00 90.00
Fractional coordinates of all 20 atoms:
Ca 0.2500 0.4780 0.0803
Ca 0.7500 0.5220 0.9197
Ca 0.2500 0.1330 0.1446
Ca 0.7500 0.8670 0.8554
Ca 0.2500 0.6844 0.6566
Ca 0.7500 0.3156 0.3434
Ca 0.2500 0.2333 0.5003
Ca 0.7500 0.7667 0.4997
Ca 0.2500 0.8467 0.3339
Ca 0.7500 0.1533 0.6661
Ca 0.2500 0.1175 0.8487
Ca 0.7500 0.8825 0.1513
In 0.2500 0.5124 0.3647
In 0.7500 0.4876 0.6353
In 0.2500 0.4241 0.7784
In 0.7500 0.5759 0.2216
In 0.2500 0.7677 0.9723
In 0.7500 0.2323 0.0277
Pd 0.2500 0.9633 0.5930
Pd 0.7500 0.0367 0.4070

Calculated formation energy in meV per atom: -427
Theoretical density in g/cm³: 3.937



Entry 20:
First-principles (PBE) data for a geometry-optimized KRe4O12 structure, as listed in Alexandria.

Lattice parameters (Å, degrees): 6.6353 6.6353 6.6353 109.47 109.47 109.47
Fractional coordinates of all 17 atoms:
K 0.0000 0.0000 0.0000
Re 0.0000 0.5000 0.0000
Re 0.5000 0.0000 0.0000
Re 0.5000 0.5000 0.5000
Re 0.0000 0.0000 0.5000
O 0.7497 0.2496 0.9993
O 0.2496 0.4999 0.2503
O 0.0007 0.2503 0.7504
O 0.2496 0.9993 0.7497
O 0.9993 0.7497 0.2496
O 0.7504 0.5001 0.7497
O 0.4999 0.2503 0.2496
O 0.5001 0.7497 0.7504
O 0.7504 0.0007 0.2503
O 0.7497 0.7504 0.5001
O 0.2503 0.2496 0.4999
O 0.2503 0.7504 0.0007

Formation energy from raw total energies in meV/atom: -1622
Theoretical density in g/cm³: 7.206



Entry 21:
First-principles (PBE) data for a geometry-optimized CaTe2H structure, as listed in Alexandria.

Lattice parameters (Å, degrees): 5.2689 5.2689 5.2689 60.00 60.00 60.00
Last column: magnetic moment on the atom in μB.
Fractional coordinates of all 4 atoms:
H 0.0000 0.0000 0.0000  0.30
Ca 0.5000 0.5000 0.5000  0.02
Te 0.2500 0.2500 0.2500  0.00
Te 0.7500 0.7500 0.7500  0.00

Theoretical density in g/cm³: 4.757
Energy relative to the lowest polymorph listed for this composition in kJ per mole of atoms: 44.8



Entry 22:
First-principles (PBE) data for a geometry-optimized Ce2PbS6 structure, as listed in Alexandria.

Lattice parameters (Å, degrees): 6.3159 6.3159 12.6332 90.00 90.00 90.00
Fractional coordinates of all 18 atoms:
Ce 0.0000 0.0000 0.3335
Ce 0.5000 0.5000 0.8335
Ce 0.5000 0.5000 0.1665
Ce 0.0000 0.0000 0.6665
Pb 0.0000 0.0000 0.0000
Pb 0.5000 0.5000 0.5000
S 0.3053 0.3053 0.3356
S 0.6947 0.6947 0.3356
S 0.1947 0.8053 0.8356
S 0.8053 0.1947 0.8356
S 0.1947 0.8053 0.1645
S 0.8053 0.1947 0.1645
S 0.3053 0.3053 0.6644
S 0.6947 0.6947 0.6644
S 0.3102 0.3102 0.0000
S 0.6898 0.6898 0.0000
S 0.1898 0.8102 0.5000
S 0.8102 0.1898 0.5000

Formation energy from raw total energies in meV/atom: -1019
Theoretical density in g/cm³: 4.480